1.
A plane-wave DFT calculation with PBE-GGA was carried out for a geometry-optimized MgTcPH structure.

It has space group Pm (No. 6), with a = 3.135 Å, b = 3.080 Å, c = 5.365 Å, α = 90.00°, β = 90.31° and γ = 90.00°. The inequivalent atoms are Mg at (0.000, 0.000, 0.000), Tc at (0.494, 0.000, 0.575), P at (0.992, 0.500, 0.382) and H at (0.495, 0.500, 0.791).

The raw total energy is -0.403 Ry/atom. The relative energy among the computed polymorphs is 0.343 eV/f.u.

***

2.
A plane-wave DFT calculation with PBE-GGA was carried out for a geometry-optimized MgTcPH structure.

It has space group R3m (No. 160, hexagonal axes), with a = 3.2189 Å, b = 3.2189 Å, c = 20.4282 Å, α = 90.00°, β = 90.00° and γ = 120.00°. The inequivalent atoms are Mg at (0.0000, 0.0000, 0.0000), Tc at (0.0000, 0.0000, 0.7699), P at (0.0000, 0.0000, 0.1674) and H at (0.0000, 0.0000, 0.2395).

The raw total energy is -0.387 Ry/atom. The relative energy among the computed polymorphs is 1.207 eV/f.u.